Material: LuZrScCd
Method: DFT, PBE
State: optimized geometry

Cell: 7.2754 7.2754 7.2754 Å, 90.00 90.00 90.00°
Space group F-43m (No. 216)
Symmetry-distinct sites (fractional):
Lu 0.0000 0.0000 0.0000 (multiplicity 4)
Zr 0.2500 0.2500 0.7500 (multiplicity 4)
Sc 0.0000 0.0000 0.5000 (multiplicity 4)
Cd 0.2500 0.2500 0.2500 (multiplicity 4)

formation energy	0.039	eV per atom
size of the total moment	0.58	μB per atom
calculated volume	24.069	Å³ per atom
theoretical density	7.305	g/cm³



Material: Sm3Ho2ThSe6
Method: DFT, PBE
State: optimized geometry

Cell: 17.9835 4.1167 8.3395 Å, 90.00 102.24 90.00°
Space group C2/m (No. 12)
Symmetry-distinct sites (fractional):
Sm 0.0000 0.0000 0.0000 (multiplicity 2)
Sm 0.1605 0.5000 0.3343 (multiplicity 4)
Ho 0.1650 0.5000 0.8307 (multiplicity 4)
Th 0.0000 0.0000 0.5000 (multiplicity 2)
Se 0.0048 0.5000 0.7574 (multiplicity 4)
Se 0.1703 0.0000 0.0782 (multiplicity 4)
Se 0.1710 0.0000 0.5942 (multiplicity 4)

size of the total moment	0.00	μB per atom
calculated volume	25.140	Å³ per atom
energy relative to the elements, uncorrected	-1733	meV per atom
theoretical density	8.183	g/cm³



Material: TlCuBr
Method: DFT, PBE
State: optimized geometry

Cell: 4.0208 6.2971 12.5676 Å, 90.00 90.00 90.00°
Space group Fmm2 (No. 42)
Symmetry-distinct sites (fractional):
Tl 0.0000 0.0000 0.0000 (multiplicity 4)
Cu 0.0000 0.0000 0.3479 (multiplicity 4)
Br 0.0000 0.0000 0.7379 (multiplicity 4)

size of the total moment	0.00	μB per atom
distance to the lowest polymorph of the same formula	0.24	eV/f.u.
calculated volume	26.517	Å³ per atom
energy relative to the elements, uncorrected	-43	meV per atom
theoretical density	7.261	g/cm³



Material: Rb4Cu3Br12
Method: DFT, PBE
State: optimized geometry

Cell: 11.8935 11.8935 11.8935 Å, 90.00 90.00 90.00°
Space group Im-3 (No. 204)
Symmetry-distinct sites (fractional):
Rb 0.2500 0.2500 0.2500 (multiplicity 8)
Cu 0.0000 0.0000 0.5000 (multiplicity 6)
Br 0.0000 0.3585 0.1406 (multiplicity 24)

size of the total moment	0.05	μB per atom
calculated volume	44.274	Å³ per atom
energy relative to the elements, uncorrected	-821	meV per atom
theoretical density	2.944	g/cm³



Material: NdFeCo10
Method: DFT, PBE
State: optimized geometry

Cell: 4.0391 4.7362 8.4021 Å, 90.00 90.00 90.00°
Space group Pmmm (No. 47)
Symmetry-distinct sites (fractional):
Nd 0.0000 0.0000 0.0000 (multiplicity 1)
Fe 0.0000 0.5000 0.5000 (multiplicity 1)
Co 0.0000 0.0000 0.3530 (multiplicity 2)
Co 0.0000 0.5000 0.2088 (multiplicity 2)
Co 0.5000 0.0000 0.5000 (multiplicity 1)
Co 0.5000 0.2544 0.2597 (multiplicity 4)
Co 0.5000 0.5000 0.0000 (multiplicity 1)

formation energy	0.118	eV per atom
size of the total moment	1.59	μB per atom
calculated volume	13.394	Å³ per atom
theoretical density	8.155	g/cm³



Material: GaSn2GeIr
Method: DFT, PBE
State: optimized geometry

Cell: 5.2525 5.2525 4.7246 Å, 90.00 90.00 90.00°
Space group P4/mmm (No. 123)
Symmetry-distinct sites (fractional):
Ga 0.0000 0.0000 0.0000 (multiplicity 1)
Sn 0.0000 0.5000 0.5000 (multiplicity 2)
Ge 0.5000 0.5000 0.0000 (multiplicity 1)
Ir 0.5000 0.5000 0.5000 (multiplicity 1)

formation energy	0.226	eV per atom
size of the total moment	0.00	μB per atom
calculated volume	26.069	Å³ per atom
theoretical density	7.287	g/cm³



Material: MgZnNi2
Method: DFT, PBE
State: optimized geometry

Cell: 9.2302 2.7978 4.3213 Å, 90.00 109.38 90.00°
Space group Cm (No. 8)
Symmetry-distinct sites (fractional):
Mg 0.0000 0.0000 0.0000 (multiplicity 2)
Zn 0.2229 0.0000 0.6493 (multiplicity 2)
Ni 0.2544 0.5000 0.1746 (multiplicity 2)
Ni 0.4806 0.0000 0.4918 (multiplicity 2)

formation energy	-0.151	eV per atom
size of the total moment	0.00	μB per atom
calculated volume	13.159	Å³ per atom
theoretical density	6.533	g/cm³